Record 1
A plane-wave DFT calculation with PBE-GGA was carried out for a relaxed structure of Er2ThNbN4.

a = 5.9018 Å, b = 3.4016 Å, c = 5.9327 Å
α = 90.00°, β = 109.09°, γ = 90.00°
Last column: nearest neighbours and their distance in Å.
Space group P2/m (No. 10)
Asymmetric unit:
Er: 0.0000 0.0000 0.0000  6 N 2.46-2.48
Er: 0.5000 0.5000 0.0000  6 N 2.37
Th: 0.0000 0.5000 0.5000  6 N 2.45-2.46
Nb: 0.5000 0.0000 0.5000  6 N 2.36
N: 0.2645 0.0000 0.7537  1 Nb 2.36, 3 Er 2.37-2.46, 2 Th 2.46
N: 0.2662 0.5000 0.2582  2 Nb 2.36, 3 Er 2.37-2.48, 1 Th 2.45

Results
**Formation energy (no corrections)**: -11.5 eV/f.u.
**Magnetization**: 0.0 μB/f.u.



Record 2
A plane-wave DFT calculation with PBE-GGA was carried out for a relaxed structure of ErTm2NbN4.

a = 5.7561 Å, b = 3.3121 Å, c = 5.7582 Å
α = 90.00°, β = 109.15°, γ = 90.00°
Last column: nearest neighbours and their distance in Å.
Space group P2/m (No. 10)
Asymmetric unit:
Er: 0.0000 0.0000 0.0000  6 N 2.35-2.36
Tm: 0.5000 0.0000 0.5000  6 N 2.34-2.35
Tm: 0.5000 0.5000 0.0000  6 N 2.40-2.43
Nb: 0.0000 0.5000 0.5000  6 N 2.26-2.30
N: 0.2394 0.0000 0.7381  2 Nb 2.30, 3 Tm 2.34-2.40, 1 Er 2.35
N: 0.2427 0.5000 0.2600  1 Nb 2.26, 3 Tm 2.35-2.43, 2 Er 2.36

Results
**Formation energy (no corrections)**: -12.8 eV/f.u.
**Magnetization**: 0.0 μB/f.u.



Record 3
A plane-wave DFT calculation with PBE-GGA was carried out for a relaxed structure of Y2ErNbN4.

a = 5.8158 Å, b = 3.3487 Å, c = 5.8228 Å
α = 90.00°, β = 109.13°, γ = 90.00°
Last column: nearest neighbours and their distance in Å.
Space group P2/m (No. 10)
Asymmetric unit:
Y: 0.0000 0.0000 0.0000  6 N 2.46-2.48
Y: 0.5000 0.5000 0.0000  6 N 2.39
Er: 0.0000 0.5000 0.5000  6 N 2.36-2.37
Nb: 0.5000 0.0000 0.5000  6 N 2.26-2.30
N: 0.2589 0.0000 0.7355  1 Nb 2.26, 2 Er 2.37, 3 Y 2.39-2.48
N: 0.2654 0.5000 0.2682  2 Nb 2.30, 1 Er 2.36, 3 Y 2.39-2.46

Results
**Formation energy (no corrections)**: -12.2 eV/f.u.
**Magnetization**: 0.0 μB/f.u.



> Which of these has the lowest formation energy (no corrections)?

ErTm2NbN4